1.
A geometry-optimized Tb3NpTl4S8 structure. Source: Alexandria via LeMat-Bulk, functional GGA-PBE.

Cell: 8.1186 8.8586 8.1184 Å, 117.28 120.00 90.00°
Last column: nearest neighbours and their distance in Å.
Fractional coordinates of all 16 atoms:
Tb: 0.5000 0.5000 0.0000  6 S 2.77-2.78
Tb: 0.5000 0.5000 0.5000  6 S 2.77-2.78
Tb: 0.0000 0.5000 0.5000  6 S 2.77-2.78
Np: 0.0000 0.5000 0.0000  6 S 2.78
Tl: 0.5000 0.0000 0.0000  6 S 3.26
Tl: 0.5000 0.0000 0.5000  6 S 3.26
Tl: 0.0000 0.0000 0.0000  6 S 3.26
Tl: 0.0000 0.0000 0.5000  6 S 3.26
S: 0.2331 0.6980 0.9650  2 Tb 2.77, 1 Np 2.78
S: 0.2331 0.6980 0.4662  2 Tb 2.77, 1 Np 2.78
S: 0.2672 0.3017 0.5344  3 Tb 2.78
S: 0.7319 0.6980 0.9650  2 Tb 2.77, 1 Np 2.78
S: 0.2681 0.3020 0.0350  2 Tb 2.77, 1 Np 2.78
S: 0.7328 0.6983 0.4656  3 Tb 2.78
S: 0.7669 0.3020 0.5338  2 Tb 2.77, 1 Np 2.78
S: 0.7669 0.3020 0.0350  2 Tb 2.77, 1 Np 2.78

Calculated values
N(E_F) ... 6.25 states/eV/f.u.
V ... 26.81 Å³ per atom
Final energy ... -5.6943 eV per atom
E_form (uncorrected) ... -1.362 eV per atom

2.
A geometry-optimized ScBPb3 structure. Source: Alexandria via LeMat-Bulk, functional GGA-PBE.

Cell: 5.0634 5.0634 5.0634 Å, 90.00 90.00 90.00°
Last column: nearest neighbours and their distance in Å.
Fractional coordinates of all 5 atoms:
Pb: 0.0000 0.5000 0.0000  2 B 2.53
Pb: 0.0000 0.0000 0.5000  2 B 2.53
Pb: 0.5000 0.0000 0.0000  2 B 2.53
Sc: 0.5000 0.5000 0.5000  12 Pb 3.58
B: 0.0000 0.0000 0.0000  6 Pb 2.53

Calculated values
N(E_F) ... 3.96 states/eV/f.u.
DFT formation energy ... 0.644 eV/atom
V ... 25.96 Å³ per atom
Final energy ... -4.1823 eV per atom
Energy above the lowest structure with this stoichiometry ... 0.0000 eV/atom

3.
A geometry-optimized MnCd2Pd structure. Source: Alexandria via LeMat-Bulk, functional GGA-PBE.

Cell: 3.4068 3.4068 6.1239 Å, 90.00 90.00 90.00°
Last column: nearest neighbours and their distance in Å.
Fractional coordinates of all 4 atoms:
Mn: 0.5000 0.5000 0.5000  8 Cd 2.87, 2 Pd 3.06
Pd: 0.5000 0.5000 0.0000  8 Cd 2.84, 2 Mn 3.06
Cd: 0.0000 0.0000 0.7536  4 Pd 2.84, 4 Mn 2.87, 2 Cd 3.02-3.11
Cd: 0.0000 0.0000 0.2464  4 Pd 2.84, 4 Mn 2.87, 2 Cd 3.02-3.11

Calculated values
N(E_F) ... 2.57 states/eV/f.u.
DFT formation energy ... -0.042 eV/atom
V ... 17.77 Å³ per atom
Final energy ... -4.0901 eV per atom

4.
A geometry-optimized LiAl2Si2 structure. Source: Alexandria via LeMat-Bulk, functional GGA-PBE.

Cell: 4.2547 4.2547 6.1627 Å, 69.81 69.81 90.00°
Last column: nearest neighbours and their distance in Å.
Fractional coordinates of all 5 atoms:
Si: 0.7500 0.2500 0.5000  4 Al 2.55
Si: 0.2500 0.7500 0.5000  4 Al 2.55
Al: 0.3812 0.3812 0.2375  4 Si 2.55, 1 Al 2.56
Al: 0.6188 0.6188 0.7625  4 Si 2.55, 1 Al 2.56
Li: 0.0000 0.0000 0.0000  8 Al 3.27, 8 Si 3.43

Calculated values
N(E_F) ... 1.99 states/eV/f.u.
V ... 19.47 Å³ per atom
Final energy ... -3.9068 eV per atom
E_form (uncorrected) ... 0.142 eV per atom